# La6WO12 GGA+U optimized geometry
data_La6WO12
_chemical_formula_sum 'La6 W1 O12'
_cell_length_a 6.8437
_cell_length_b 6.8437
_cell_length_c 6.8437
_cell_angle_alpha 98.39
_cell_angle_beta 98.39
_cell_angle_gamma 98.39
_space_group_name_H-M_alt 'P 1'
_space_group_IT_number 1
_space_group_name_Hall 'P 1'
loop_
_atom_site_label
_atom_site_type_symbol
_atom_site_fract_x
_atom_site_fract_y
_atom_site_fract_z
La1 La 0.1067 0.8051 0.6430
La2 La 0.1949 0.3570 0.8933
La3 La 0.3570 0.8933 0.1949
La4 La 0.6430 0.1067 0.8051
La5 La 0.8051 0.6430 0.1067
La6 La 0.8933 0.1949 0.3570
W1 W 0.5000 0.5000 0.5000
O1 O 0.0598 0.9052 0.3231
O2 O 0.0948 0.6769 0.9402
O3 O 0.2159 0.4314 0.5307
O4 O 0.3231 0.0598 0.9052
O5 O 0.4314 0.5307 0.2159
O6 O 0.4693 0.7841 0.5686
O7 O 0.5307 0.2159 0.4314
O8 O 0.5686 0.4693 0.7841
O9 O 0.6769 0.9402 0.0948
O10 O 0.7841 0.5686 0.4693
O11 O 0.9052 0.3231 0.0598
O12 O 0.9402 0.0948 0.6769
# SG: No. 148
# D(E_F) (states/eV/cell): 0.00
# Crystal system: trigonal
# Total moment (μB per cell): 0.000
# Uncorrected energy (eV per atom): -8.320